CdP2SF at its PBEsol-relaxed geometry, computed with SCAN.

Geometry as POSCAR:
```
CdP2SF
1.0
4.923 0.000 0.000
0.000 4.923 0.000
0.000 0.000 4.802
Cd P S F
1 2 1 1
direct
0.000 0.000 0.000 Cd
0.000 0.500 0.000 P
0.500 0.000 0.000 P
0.000 0.000 0.500 S
0.500 0.500 0.500 F
```

The magnetization comes out at 1.7 μB per cell. The formation energy (no corrections) is 1.12 eV/atom. The value obtained for the relative energy among the computed polymorphs is 546.7 meV per atom. As for the space group: P4/mmm, No. 123.